# 1
! Ba2CuPd2 | the Alexandria database | PBE-GGA | optimized geometry; values from VASP
! DFT total energy: -19.5 eV/cell
! E_form: -0.24 eV/atom
! total moment: 0.00 Bohr magnetons per cell
! N(E_F): 2.34 states/eV/f.u.
! volume: 28.85 Å³/atom
&SYSTEM
  ibrav = 0, nat = 5, ntyp = 3
/
ATOMIC_SPECIES
Pd 106.42 Pd.upf
Ba 137.33 Ba.upf
Cu 63.55 Cu.upf
CELL_PARAMETERS angstrom
6.087 0.000 0.000
0.000 6.087 0.000
3.044 3.044 3.893
ATOMIC_POSITIONS crystal
Pd 0.672 0.672 0.656
Ba 0.750 0.250 0.500
Pd 0.328 0.328 0.344
Cu 0.000 0.000 0.000
Ba 0.250 0.750 0.500



# 2
! Ba4CuPd2 | the Alexandria database | PBE-GGA | optimized geometry; values from VASP
! DFT total energy: -48.8 eV/cell
! E_form: -0.32 eV/atom
! total moment: 0.00 Bohr magnetons per cell
! N(E_F): 3.75 states/eV/f.u.
! volume: 37.22 Å³/atom
&SYSTEM
  ibrav = 0, nat = 14, ntyp = 3
/
ATOMIC_SPECIES
Ba 137.33 Ba.upf
Pd 106.42 Pd.upf
Cu 63.55 Cu.upf
CELL_PARAMETERS angstrom
7.803 0.005 -2.156
1.813 7.589 -2.159
0.080 0.067 8.763
ATOMIC_POSITIONS crystal
Ba 0.132 0.625 0.969
Ba 0.134 0.134 0.347
Ba 0.122 0.122 0.830
Pd 0.345 0.345 0.199
Cu 0.842 0.842 0.199
Pd 0.448 0.926 0.621
Cu 0.812 0.812 0.681
Ba 0.613 0.613 0.831
Ba 0.643 0.153 0.475
Ba 0.625 0.132 0.969
Ba 0.153 0.643 0.475
Pd 0.926 0.448 0.621
Pd 0.333 0.333 0.695
Ba 0.622 0.622 0.337



# 3
! BaCuPd2 | the Alexandria database | PBE-GGA | optimized geometry; values from VASP
! DFT total energy: -34.2 eV/cell
! E_form: -0.17 eV/atom
! total moment: 0.00 Bohr magnetons per cell
! N(E_F): 0.96 states/eV/f.u.
! volume: 26.70 Å³/atom
&SYSTEM
  ibrav = 0, nat = 8, ntyp = 3
/
ATOMIC_SPECIES
Ba 137.33 Ba.upf
Pd 106.42 Pd.upf
Cu 63.55 Cu.upf
CELL_PARAMETERS angstrom
-1.094 0.422 -4.851
4.399 -2.046 -1.170
-1.935 -8.601 -2.880
ATOMIC_POSITIONS crystal
Ba 0.000 0.000 0.000
Pd 0.440 0.125 0.250
Pd 0.375 0.560 0.750
Cu 0.250 0.750 0.500
Pd 0.310 0.625 0.250
Ba 0.750 0.250 0.500
Cu 0.500 0.500 0.000
Pd 0.875 0.690 0.750



# 4
! Ba2Cu2Pd | the Alexandria database | PBE-GGA | optimized geometry; values from VASP
! DFT total energy: -17.5 eV/cell
! E_form: -0.06 eV/atom
! total moment: 0.00 Bohr magnetons per cell
! N(E_F): 3.45 states/eV/f.u.
! volume: 28.63 Å³/atom
&SYSTEM
  ibrav = 0, nat = 5, ntyp = 3
/
ATOMIC_SPECIES
Pd 106.42 Pd.upf
Cu 63.55 Cu.upf
Ba 137.33 Ba.upf
CELL_PARAMETERS angstrom
-5.742 -1.115 1.877
-1.754 -0.787 -5.834
-2.946 -4.650 -1.721
ATOMIC_POSITIONS crystal
Pd 0.000 0.000 0.000
Cu 0.658 0.658 0.685
Ba 0.250 0.750 0.500
Cu 0.342 0.342 0.315
Ba 0.750 0.250 0.500



# 5
! Ba3Cu2Pd4 | the Alexandria database | PBE-GGA | optimized geometry; values from VASP
! DFT total energy: -75.5 eV/cell
! E_form: -0.34 eV/atom
! total moment: 0.00 Bohr magnetons per cell
! N(E_F): 4.15 states/eV/f.u.
! volume: 26.45 Å³/atom
&SYSTEM
  ibrav = 0, nat = 18, ntyp = 3
/
ATOMIC_SPECIES
Ba 137.33 Ba.upf
Pd 106.42 Pd.upf
Cu 63.55 Cu.upf
CELL_PARAMETERS angstrom
-3.068 1.752 2.813
3.538 -2.271 1.648
14.161 22.910 1.178
ATOMIC_POSITIONS crystal
Ba 0.333 0.667 0.918
Pd 0.000 0.000 0.332
Ba 0.333 0.667 0.416
Pd 0.667 0.333 0.332
Pd 0.667 0.333 0.834
Pd 0.667 0.333 0.001
Cu 0.000 0.000 0.500
Ba 0.333 0.667 0.750
Pd 0.667 0.333 0.500
Cu 0.000 0.000 0.834
Ba 0.333 0.667 0.083
Pd 0.000 0.000 0.001
Ba 0.333 0.667 0.251
Ba 0.333 0.667 0.584
Cu 0.667 0.333 0.167
Pd 0.000 0.000 0.667
Cu 0.000 0.000 0.167
Pd 0.667 0.333 0.667



# 6
! Ba2CuPd2 | the Alexandria database | PBE-GGA | optimized geometry; values from VASP
! DFT total energy: -19.0 eV/cell
! E_form: -0.14 eV/atom
! total moment: 0.00 Bohr magnetons per cell
! N(E_F): 3.50 states/eV/f.u.
! volume: 28.63 Å³/atom
&SYSTEM
  ibrav = 0, nat = 5, ntyp = 3
/
ATOMIC_SPECIES
Ba 137.33 Ba.upf
Pd 106.42 Pd.upf
Cu 63.55 Cu.upf
CELL_PARAMETERS angstrom
3.980 0.000 0.000
0.000 3.980 0.000
1.990 1.990 9.037
ATOMIC_POSITIONS crystal
Ba 0.386 0.386 0.227
Pd 0.250 0.750 0.500
Ba 0.614 0.614 0.773
Cu 0.000 0.000 0.000
Pd 0.750 0.250 0.500



# 7
! Ba3CuPd | the Alexandria database | PBE-GGA | optimized geometry; values from VASP
! DFT total energy: -14.9 eV/cell
! E_form: 0.02 eV/atom
! total moment: 0.00 Bohr magnetons per cell
! N(E_F): 3.61 states/eV/f.u.
! volume: 46.45 Å³/atom
&SYSTEM
  ibrav = 0, nat = 5, ntyp = 3
/
ATOMIC_SPECIES
Ba 137.33 Ba.upf
Cu 63.55 Cu.upf
Pd 106.42 Pd.upf
CELL_PARAMETERS angstrom
-5.396 2.942 0.110
-0.744 -1.585 5.892
2.848 5.159 1.748
ATOMIC_POSITIONS crystal
Ba 0.000 0.000 0.500
Ba 0.500 0.000 0.000
Cu 0.500 0.500 0.500
Pd 0.000 0.000 0.000
Ba 0.000 0.500 0.000



# 8
! Ba2CuPd | the Alexandria database | PBE-GGA | optimized geometry; values from VASP
! DFT total energy: -11.9 eV/cell
! E_form: 0.32 eV/atom
! total moment: 0.00 Bohr magnetons per cell
! N(E_F): 2.57 states/eV/f.u.
! volume: 41.61 Å³/atom
&SYSTEM
  ibrav = 0, nat = 4, ntyp = 3
/
ATOMIC_SPECIES
Ba 137.33 Ba.upf
Pd 106.42 Pd.upf
Cu 63.55 Cu.upf
CELL_PARAMETERS angstrom
-1.285 -3.683 -2.201
1.222 -4.042 1.494
-7.960 -3.000 5.109
ATOMIC_POSITIONS crystal
Ba 0.100 0.100 0.701
Pd 0.000 0.000 0.000
Ba 0.900 0.900 0.299
Cu 0.500 0.500 0.500